Record 1
A plane-wave DFT calculation with PBE-GGA was carried out for a relaxed structure of TbPmCuPt.

Properties
N(E_F) = 8.7 states/eV/cell
E above lowest polymorph = 0.050 eV/atom
Size of the total moment = 0.0 μB per formula unit
E = -89.25 eV for the cell shown

```
16
Lattice="7.0782 0.0000 0.0000 0.0000 7.0782 0.0000 0.0000 0.0000 7.0782" Properties=species:S:1:pos:R:3 pbc="T T T"
Tb 0.0000 0.0000 0.0000
Tb 0.0000 3.5391 3.5391
Tb 3.5391 0.0000 3.5391
Tb 3.5391 3.5391 0.0000
Pm 0.0000 0.0000 3.5391
Pm 0.0000 3.5391 0.0000
Pm 3.5391 0.0000 0.0000
Pm 3.5391 3.5391 3.5391
Cu 1.7696 1.7696 1.7696
Cu 1.7696 5.3087 5.3087
Cu 5.3087 1.7696 5.3087
Cu 5.3087 5.3087 1.7696
Pt 1.7696 1.7696 5.3087
Pt 1.7696 5.3087 1.7696
Pt 5.3087 1.7696 1.7696
Pt 5.3087 5.3087 5.3087
```

=====

Record 2
A plane-wave DFT calculation with PBE-GGA was carried out for a relaxed structure of PmTmCuPt.

Properties
N(E_F) = 5.5 states/eV/cell
E above lowest polymorph = 0.000 eV/atom
Size of the total moment = 0.0 μB per formula unit
E = -44.87 eV for the cell shown

```
8
Lattice="4.4133 0.0000 0.0000 0.0000 3.8009 0.0000 0.0000 0.0000 10.7074" Properties=species:S:1:pos:R:3 pbc="T T T"
Pm 0.0000 0.0000 0.0000
Pm 0.0000 1.9005 5.3537
Tm 2.2067 0.0000 2.9715
Tm 2.2067 1.9005 8.3252
Cu 2.2067 0.0000 6.0503
Cu 2.2067 1.9005 0.6966
Pt 0.0000 0.0000 7.7202
Pt 0.0000 1.9005 2.3665
```

=====

Record 3
A plane-wave DFT calculation with PBE-GGA was carried out for a relaxed structure of PmTmCuPt.

Properties
N(E_F) = 8.0 states/eV/cell
E above lowest polymorph = 0.039 eV/atom
Size of the total moment = 0.0 μB per formula unit
E = -89.11 eV for the cell shown

```
16
Lattice="7.0165 0.0000 0.0000 0.0000 7.0165 0.0000 0.0000 0.0000 7.0165" Properties=species:S:1:pos:R:3 pbc="T T T"
Pm 0.0000 0.0000 0.0000
Pm 0.0000 3.5083 3.5083
Pm 3.5083 0.0000 3.5083
Pm 3.5083 3.5083 0.0000
Tm 0.0000 0.0000 3.5083
Tm 0.0000 3.5083 0.0000
Tm 3.5083 0.0000 0.0000
Tm 3.5083 3.5083 3.5083
Cu 1.7541 1.7541 1.7541
Cu 1.7541 5.2624 5.2624
Cu 5.2624 1.7541 5.2624
Cu 5.2624 5.2624 1.7541
Pt 1.7541 1.7541 5.2624
Pt 1.7541 5.2624 1.7541
Pt 5.2624 1.7541 1.7541
Pt 5.2624 5.2624 5.2624
```

=====

Record 4
A plane-wave DFT calculation with PBE-GGA was carried out for a relaxed structure of PmZnCuPt3.

Properties
N(E_F) = 4.5 states/eV/cell
Size of the total moment = 0.0 μB per formula unit
E = -62.25 eV for the cell shown

```
12
Lattice="2.8851 -6.5321 0.0000 2.8851 6.5321 0.0000 0.0000 0.0000 5.7118" Properties=species:S:1:pos:R:3 pbc="T T T"
Pm 2.8851 4.1976 4.2838
Pm 2.8851 -4.1976 1.4279
Zn 2.8851 4.8011 1.4279
Zn 2.8851 -4.8011 4.2838
Cu 2.8851 1.5047 4.2838
Cu 2.8851 -1.5047 1.4279
Pt 1.4124 0.0000 0.0000
Pt 1.4124 0.0000 2.8559
Pt 2.8851 2.2258 1.4279
Pt 2.8851 -2.2258 4.2838
Pt 4.3578 0.0000 0.0000
Pt 4.3578 0.0000 2.8559
```

=====

Look up the size of the total moment of the fourth one.
0.0 μB per formula unit

=====

Look up the E of the third one.
-89.11 eV for the cell shown